(1)
{
  "formula": "FeOs2W",
  "functional": "SCAN",
  "state": "single point on PBEsol structure",
  "volume_a3_per_cell": 56,
  "n_ef_per_ev_cell": 2.55,
  "dft_energy_ev_per_atom": -57.833,
  "ef_ev_per_atom": 0.061,
  "de_polymorph_ev_per_fu": 0.11,
  "lattice": [[0.000, 3.040, 3.040], [3.040, 0.000, 3.040], [3.040, 3.040, 0.000]],
  "species": ["Fe", "Os", "Os", "W"],
  "fractional_positions": [[0.000, 0.000, 0.000], [0.250, 0.250, 0.250], [0.750, 0.750, 0.750], [0.500, 0.500, 0.500]]
}

***

(2)
{
  "formula": "Fe2OsW",
  "functional": "SCAN",
  "state": "single point on PBEsol structure",
  "volume_a3_per_cell": 52,
  "n_ef_per_ev_cell": 3.18,
  "dft_energy_ev_per_atom": -44.316,
  "ef_ev_per_atom": 0.141,
  "lattice": [[2.974, 0.000, 0.000], [0.000, 2.974, 0.000], [0.000, 0.000, 5.832]],
  "species": ["Fe", "Fe", "Os", "W"],
  "fractional_positions": [[0.000, 0.000, 0.247], [0.000, 0.000, 0.753], [0.500, 0.500, 0.000], [0.500, 0.500, 0.500]]
}

***

(3)
{
  "formula": "FeOs2W",
  "functional": "SCAN",
  "state": "single point on PBEsol structure",
  "volume_a3_per_cell": 56,
  "n_ef_per_ev_cell": 4.67,
  "dft_energy_ev_per_atom": -57.559,
  "ef_ev_per_atom": 0.335,
  "de_polymorph_ev_per_fu": 1.21,
  "lattice": [[0.000, 3.031, 3.031], [3.031, 0.000, 3.031], [3.031, 3.031, 0.000]],
  "species": ["Fe", "Os", "Os", "W"],
  "fractional_positions": [[0.000, 0.000, 0.000], [0.250, 0.250, 0.250], [0.500, 0.500, 0.500], [0.750, 0.750, 0.750]]
}

***

(4)
{
  "formula": "FeOs2W",
  "functional": "SCAN",
  "state": "single point on PBEsol structure",
  "volume_a3_per_cell": 54,
  "n_ef_per_ev_cell": 2.52,
  "dft_energy_ev_per_atom": -57.862,
  "ef_ev_per_atom": 0.032,
  "de_polymorph_ev_per_fu": 0.00,
  "lattice": [[3.790, 0.000, 0.000], [0.000, 3.790, 0.000], [0.000, 0.000, 3.767]],
  "species": ["Fe", "Os", "Os", "W"],
  "fractional_positions": [[0.000, 0.000, 0.000], [0.000, 0.500, 0.500], [0.500, 0.000, 0.500], [0.500, 0.500, 0.000]]
}